No. 1
Entry from Alexandria: crystalline RbHfH2Cl8 at its relaxed geometry (PBE).

For the total energy, the calculation gives -3.94 eV/atom. Its space group is No. 2.

abc: 6.4599 8.2199 9.3028
angles: 119.53 86.90 72.54
Closest atoms and distances in Å follow each position.
Sites, in units of the cell vectors:
Rb  0.0000  0.0000  0.5000  8 Cl 3.41-3.79
Hf  0.0000  0.0000  0.0000  6 Cl 2.42-2.50
H  0.2850  0.4416  0.6520  1 Cl 1.32
H  0.7150  0.5584  0.3480  1 Cl 1.32
Cl  0.1949  0.7584  0.0709  1 Hf 2.42
Cl  0.6866  0.8836  0.0108  1 Hf 2.50, 1 Cl 2.68
Cl  0.8546  0.2633  0.3060  1 H 2.14
Cl  0.8051  0.2416  0.9291  1 Hf 2.42
Cl  0.3134  0.1164  0.9892  1 Hf 2.50, 1 Cl 2.68
Cl  0.1454  0.7367  0.6940  1 H 2.14
Cl  0.6313  0.7408  0.3742  1 H 1.32
Cl  0.3687  0.2592  0.6258  1 H 1.32

=====

No. 2
Entry from Alexandria: crystalline Ga8Co3Pd2 at its relaxed geometry (PBE).

Its space group is No. 10. The energy relative to the elements comes out at -0.34 eV per atom.

abc: 4.0960 8.1205 7.2202
angles: 124.10 90.00 90.00
Closest atoms and distances in Å follow each position.
Sites, in units of the cell vectors:
Ga  0.0000  0.6120  0.2236  2 Co 2.49, 2 Pd 2.66, 1 Ga 2.67
Ga  0.0000  0.3880  0.7764  2 Co 2.49, 2 Pd 2.66, 1 Ga 2.67
Ga  0.0000  0.1206  0.2433  4 Co 2.44-2.51, 2 Pd 2.54
Ga  0.0000  0.8794  0.7567  4 Co 2.44-2.51, 2 Pd 2.54
Ga  0.5000  0.6245  0.7723  3 Co 2.46-2.53, 2 Pd 2.55-2.64, 1 Ga 2.74
Ga  0.5000  0.1464  0.7701  3 Co 2.47-2.53, 2 Pd 2.55-2.65, 1 Ga 2.74
Ga  0.5000  0.8536  0.2299  3 Co 2.47-2.53, 2 Pd 2.55-2.65, 1 Ga 2.74
Ga  0.5000  0.3755  0.2277  3 Co 2.46-2.53, 2 Pd 2.55-2.64, 1 Ga 2.74
Co  0.5000  0.0000  0.0000  8 Ga 2.51-2.53
Co  0.0000  0.2413  0.0006  8 Ga 2.44-2.49
Co  0.0000  0.7587  0.9994  8 Ga 2.44-2.49
Pd  0.5000  0.2477  0.4934  8 Ga 2.54-2.66
Pd  0.5000  0.7523  0.5066  8 Ga 2.54-2.66

=====

No. 3
Entry from Alexandria: crystalline TmO2F3 at its relaxed geometry (PBE).

The uncorrected formation energy comes out at -2.7033 eV/atom. Its space group is No. 15.

abc: 4.2898 6.8941 8.4693
angles: 101.51 104.67 90.00
Closest atoms and distances in Å follow each position.
Sites, in units of the cell vectors:
Tm  0.0001  0.2500  0.0000  6 F 2.14-2.17
Tm  0.9999  0.7500  0.0000  6 F 2.14-2.17
O  0.1465  0.5071  0.5322  1 O 1.23
O  0.3857  0.0071  0.5322  1 O 1.23
O  0.6143  0.9929  0.4678  1 O 1.23
O  0.8535  0.4929  0.4678  1 O 1.23
F  0.4999  0.7500  0.0000  2 Tm 2.14
F  0.5001  0.2500  0.0000  2 Tm 2.14
F  0.9231  0.9596  0.8365  2 Tm 2.16-2.17
F  0.0866  0.5404  0.1635  2 Tm 2.16-2.17
F  0.9134  0.4596  0.8365  2 Tm 2.16-2.17
F  0.0769  0.0404  0.1635  2 Tm 2.16-2.17

=====

No. 4
Entry from Alexandria: crystalline Ba2GaSe4 at its relaxed geometry (PBE).

The uncorrected formation energy comes out at -1.4018 eV/atom. Its space group is No. 11. The energy relative to the lowest polymorph listed for this composition is 0.229 eV/f.u.

abc: 7.7039 6.3009 9.5044
angles: 90.00 107.31 90.00
Closest atoms and distances in Å follow each position.
Sites, in units of the cell vectors:
Ba  0.7382  0.7500  0.0578  8 Se 3.29-3.47
Ba  0.2618  0.2500  0.9422  8 Se 3.29-3.47
Ba  0.2226  0.2500  0.4345  8 Se 3.35-3.63
Ba  0.7774  0.7500  0.5655  8 Se 3.35-3.63
Ga  0.2468  0.7500  0.1902  4 Se 2.39-2.49
Ga  0.7532  0.2500  0.8098  4 Se 2.39-2.49
Se  0.4990  0.4881  0.2633  1 Ga 2.49
Se  0.1050  0.7500  0.9298  1 Ga 2.39
Se  0.8950  0.2500  0.0702  1 Ga 2.39
Se  0.4990  0.0119  0.2633  1 Ga 2.49
Se  0.9248  0.2500  0.6338  1 Ga 2.42
Se  0.5010  0.9881  0.7367  1 Ga 2.49
Se  0.5010  0.5119  0.7367  1 Ga 2.49
Se  0.0752  0.7500  0.3662  1 Ga 2.42

=====

No. 5
Entry from Alexandria: crystalline TbPrSm2S4 at its relaxed geometry (PBE).

The uncorrected formation energy comes out at -2.0123 eV/atom. Its space group is No. 10.

abc: 3.9756 6.9507 7.0044
angles: 70.99 90.00 90.00
Closest atoms and distances in Å follow each position.
Sites, in units of the cell vectors:
Tb  0.0000  0.5000  0.5000  6 S 2.81
Pr  0.5000  0.5000  0.0000  6 S 2.87
Sm  0.0000  0.0000  0.0000  6 S 2.87
Sm  0.5000  0.0000  0.5000  6 S 2.80-2.81
S  0.0000  0.7531  0.7412  3 Sm 2.80-2.87, 1 Tb 2.81, 2 Pr 2.87
S  0.0000  0.2469  0.2588  3 Sm 2.80-2.87, 1 Tb 2.81, 2 Pr 2.87
S  0.5000  0.7471  0.2585  2 Tb 2.81, 3 Sm 2.81-2.87, 1 Pr 2.87
S  0.5000  0.2529  0.7415  2 Tb 2.81, 3 Sm 2.81-2.87, 1 Pr 2.87

=====

No. 6
Entry from Alexandria: crystalline Tb5SnHg4 at its relaxed geometry (PBE).

Its space group is No. 123. The energy relative to the elements comes out at -0.51 eV per atom.

abc: 3.7352 3.7352 18.8284
angles: 90.00 90.00 90.00
Closest atoms and distances in Å follow each position.
Sites, in units of the cell vectors:
Tb  0.5000  0.5000  0.1034  4 Hg 3.26, 4 Sn 3.28
Tb  0.5000  0.5000  0.3015  8 Hg 3.20-3.22
Tb  0.5000  0.5000  0.5000  8 Hg 3.25
Tb  0.5000  0.5000  0.6985  8 Hg 3.20-3.22
Tb  0.5000  0.5000  0.8966  4 Hg 3.26, 4 Sn 3.28
Sn  0.0000  0.0000  0.0000  8 Tb 3.28
Hg  0.0000  0.0000  0.2053  8 Tb 3.20-3.26
Hg  0.0000  0.0000  0.3995  8 Tb 3.22-3.25
Hg  0.0000  0.0000  0.6005  8 Tb 3.22-3.25
Hg  0.0000  0.0000  0.7947  8 Tb 3.20-3.26

=====

No. 7
Entry from Alexandria: crystalline SrSc2Ag at its relaxed geometry (PBE).

Its space group is No. 10. The energy relative to the elements comes out at 0.19 eV per atom. The energy relative to the lowest polymorph listed for this composition is 0.765 eV/f.u.

abc: 5.0125 3.5654 6.3889
angles: 75.18 90.00 90.00
Closest atoms and distances in Å follow each position.
Sites, in units of the cell vectors:
Ag  0.5000  0.7500  0.7500  4 Sc 2.96, 2 Sr 3.24
Sc  0.0000  0.9203  0.9550  2 Ag 2.96, 2 Sc 3.04-3.16
Sc  0.0000  0.5797  0.5450  2 Ag 2.96, 2 Sc 3.04-3.16
Sr  0.5000  0.2500  0.2500  2 Ag 3.24, 4 Sc 3.51, 2 Sr 3.57

=====

No. 8
Entry from Alexandria: crystalline LiMg3Ni2 at its relaxed geometry (PBE).

Its space group is No. 123. The energy relative to the elements comes out at -0.12 eV per atom.

abc: 3.1065 3.1065 9.9130
angles: 90.00 90.00 90.00
Closest atoms and distances in Å follow each position.
Sites, in units of the cell vectors:
Li  0.5000  0.5000  0.5000  8 Mg 2.97, 4 Li 3.11
Mg  0.0000  0.0000  0.0000  8 Ni 2.65, 2 Mg 2.96
Mg  0.0000  0.0000  0.7012  4 Ni 2.65, 1 Mg 2.96
Mg  0.0000  0.0000  0.2988  4 Ni 2.65, 1 Mg 2.96
Ni  0.5000  0.5000  0.8500  8 Mg 2.65
Ni  0.5000  0.5000  0.1500  8 Mg 2.65

=====

No. 9
Entry from Alexandria: crystalline Sm3PdRu at its relaxed geometry (PBE).

Its space group is No. 38. The energy relative to the elements comes out at -0.33 eV per atom. The energy relative to the lowest polymorph listed for this composition is 0.613 eV/f.u.

abc: 3.9026 8.5884 8.5978
angles: 70.23 89.99 90.00
Closest atoms and distances in Å follow each position.
Sites, in units of the cell vectors:
Sm  0.8640  0.3911  0.8067  2 Ru 2.74
Sm  0.8641  0.9973  0.6858  2 Ru 2.74
Sm  0.8625  0.6331  0.0499  2 Ru 2.74
Sm  0.3633  0.0393  0.0911  2 Ru 2.81, 2 Pd 2.93
Sm  0.8623  0.7554  0.4428  2 Ru 2.75
Sm  0.3632  0.3492  0.4017  2 Ru 2.81, 2 Pd 2.93
Pd  0.3632  0.6942  0.7465  8 Sm 3.15-3.16
Pd  0.8632  0.1934  0.2473  4 Sm 2.93
Ru  0.3624  0.6942  0.2463  6 Sm 2.74-2.81
Ru  0.3641  0.1942  0.7464  6 Sm 2.74-2.81

=====

No. 10
Entry from Alexandria: crystalline VWAu2 at its relaxed geometry (PBE).

Its space group is No. 225. The energy relative to the elements comes out at 0.52 eV per atom. The energy relative to the lowest polymorph listed for this composition is 0.000 eV/f.u.

abc: 4.5603 4.5603 4.5603
angles: 60.00 60.00 60.00
Closest atoms and distances in Å follow each position.
Sites, in units of the cell vectors:
Au  0.2500  0.2500  0.2500  4 W 2.79, 4 V 2.79
Au  0.7500  0.7500  0.7500  4 V 2.79, 4 W 2.79
W  0.5000  0.5000  0.5000  8 Au 2.79
V  0.0000  0.0000  0.0000  8 Au 2.79

=====

No. 11
Entry from Alexandria: crystalline ZrAlAg at its relaxed geometry (PBE).

Its space group is No. 12. The energy relative to the elements comes out at -0.25 eV per atom.

abc: 4.4402 5.5531 5.6053
angles: 71.11 66.67 66.43
Closest atoms and distances in Å follow each position.
Sites, in units of the cell vectors:
Zr  0.9715  0.7793  0.2778  6 Al 2.99-3.27, 6 Ag 3.03-3.13, 2 Zr 3.27-3.28
Zr  0.0285  0.2207  0.7222  6 Al 2.99-3.27, 6 Ag 3.03-3.13, 2 Zr 3.27-3.28
Al  0.6629  0.3584  0.3159  3 Ag 2.59-2.81, 1 Al 2.60
Al  0.3371  0.6416  0.6841  3 Ag 2.59-2.81, 1 Al 2.60
Ag  0.3295  0.2166  0.1244  3 Al 2.59-2.81, 1 Ag 2.76
Ag  0.6705  0.7834  0.8756  3 Al 2.59-2.81, 1 Ag 2.76

=====

Number 10 is which compound?
VWAu2